<A>
CsCd2Au2 | PBE | optimized geometry

Cell lengths 8.9374, 8.9374, 3.2023 Å; angles 90.00, 90.00, 90.00 degrees
With the nearest neighbours (Å) after each atom.
Sites, in units of the cell vectors:
Cs  0.0000  0.0000  0.0000  2 Cs 3.20, 4 Cd 3.55
Cs  0.5000  0.5000  0.0000  2 Cs 3.20, 4 Cd 3.55
Cd  0.1214  0.3786  0.0000  3 Cd 3.07-3.20, 6 Au 3.08-3.10
Cd  0.3786  0.8786  0.0000  3 Cd 3.07-3.20, 6 Au 3.08-3.10
Cd  0.6214  0.1214  0.0000  3 Cd 3.07-3.20, 6 Au 3.08-3.10
Cd  0.8786  0.6214  0.0000  3 Cd 3.07-3.20, 6 Au 3.08-3.10
Au  0.1688  0.6688  0.5000  6 Cd 3.08-3.10, 2 Au 3.20
Au  0.3312  0.1688  0.5000  6 Cd 3.08-3.10, 2 Au 3.20
Au  0.6688  0.8312  0.5000  6 Cd 3.08-3.10, 2 Au 3.20
Au  0.8312  0.3312  0.5000  6 Cd 3.08-3.10, 2 Au 3.20

Output
SG	P4/mbm, No. 127
size of the total moment	0.0	μB per formula unit


<B>
CsCd2Au2 | PBE | optimized geometry

Cell lengths 9.3003, 7.8356, 7.3923 Å; angles 75.22, 54.55, 50.22 degrees
With the nearest neighbours (Å) after each atom.
Sites, in units of the cell vectors:
Cs  0.1250  0.1250  0.1250  6 Au 3.96-4.00, 8 Cd 4.12-4.16
Cs  0.8750  0.8750  0.8750  6 Au 3.96-4.00, 8 Cd 4.12-4.16
Cd  0.2584  0.2584  0.4916  4 Au 2.77-2.84
Cd  0.4916  0.4916  0.2584  4 Au 2.77-2.84
Cd  0.5084  0.5084  0.7416  4 Au 2.77-2.84
Cd  0.7416  0.7416  0.5084  4 Au 2.77-2.84
Au  0.1886  0.5614  0.1886  4 Cd 2.77-2.84
Au  0.4386  0.8114  0.4386  4 Cd 2.77-2.84
Au  0.5614  0.1886  0.5614  4 Cd 2.77-2.84
Au  0.8114  0.4386  0.8114  4 Cd 2.77-2.84

Output
SG	Fddd, No. 70
size of the total moment	0.0	μB per formula unit


<C>
CsCd2Au2 | PBE | optimized geometry

Cell lengths 6.8736, 6.8736, 6.8736 Å; angles 137.81, 137.81, 61.19 degrees
With the nearest neighbours (Å) after each atom.
Sites, in units of the cell vectors:
Cs  0.0000  0.0000  0.0000  8 Au 3.78, 8 Cd 3.86
Cd  0.2500  0.7500  0.5000  4 Au 2.91
Cd  0.7500  0.2500  0.5000  4 Au 2.91
Au  0.3800  0.3800  0.0000  1 Au 2.84, 4 Cd 2.91
Au  0.6200  0.6200  0.0000  1 Au 2.84, 4 Cd 2.91

Output
SG	I4/mmm, No. 139
size of the total moment	0.0	μB per formula unit


Result of the stability comparison: <A> is the least stable of them.


<A>
Cs2CdAu | PBE | optimized geometry

Cell lengths 6.3674, 6.3674, 6.3674 Å; angles 60.00, 60.00, 60.00 degrees
With the nearest neighbours (Å) after each atom.
Sites, in units of the cell vectors:
Cs  0.2500  0.2500  0.2500  4 Cd 3.90, 4 Au 3.90
Cs  0.7500  0.7500  0.7500  4 Cd 3.90, 4 Au 3.90
Cd  0.0000  0.0000  0.0000  8 Cs 3.90
Au  0.5000  0.5000  0.5000  8 Cs 3.90

Output
SG	Fm-3m, No. 225
size of the total moment	0.0	μB per formula unit


<B>
Cs2CdAu | PBE | optimized geometry

Cell lengths 7.3323, 7.3323, 11.7723 Å; angles 113.68, 113.68, 43.98 degrees
With the nearest neighbours (Å) after each atom.
Sites, in units of the cell vectors:
Cs  0.1658  0.1676  0.0834  2 Au 3.58
Cs  0.1676  0.1658  0.5834  2 Au 3.58
Cs  0.8324  0.8342  0.4166  2 Au 3.58
Cs  0.8342  0.8324  0.9166  2 Au 3.58
Cd  0.4944  0.5056  0.7500  2 Au 2.74-2.75
Cd  0.5056  0.4944  0.2500  2 Au 2.74-2.75
Au  0.0057  0.9943  0.2500  2 Cd 2.74-2.75
Au  0.9943  0.0057  0.7500  2 Cd 2.74-2.75

Output
SG	C2/c, No. 15
size of the total moment	0.0	μB per formula unit


Result of the stability comparison: <A> is the least stable of them.


<A>
Cs2CdAu | PBE | optimized geometry

Cell lengths 10.0934, 10.0934, 10.0934 Å; angles 29.55, 29.55, 29.55 degrees
With the nearest neighbours (Å) after each atom.
Sites, in units of the cell vectors:
Cs  0.0000  0.0000  0.0000  3 Au 3.61, 3 Cd 4.04
Cs  0.1910  0.1910  0.1910  3 Au 3.63
Cd  0.7611  0.7611  0.7611  6 Cs 4.04-4.08
Au  0.5961  0.5961  0.5961  6 Cs 3.61-3.63

Output
SG	R3m, No. 160
size of the total moment	0.0	μB per formula unit


<B>
Cs2CdAu | PBE | optimized geometry

Cell lengths 12.5620, 12.5620, 12.5620 Å; angles 22.95, 22.95, 22.95 degrees
With the nearest neighbours (Å) after each atom.
Sites, in units of the cell vectors:
Cs  0.1093  0.1093  0.1093  3 Au 3.57
Cs  0.8907  0.8907  0.8907  3 Au 3.57
Cd  0.0000  0.0000  0.0000  2 Cs 4.01
Au  0.5000  0.5000  0.5000  6 Cs 3.57

Output
SG	R-3m, No. 166
size of the total moment	0.0	μB per formula unit


Result of the stability comparison: <B> is the least stable of them.


<A>
Cs2CdAu | PBE | optimized geometry

Cell lengths 4.4649, 4.4649, 9.3501 Å; angles 90.00, 90.00, 90.00 degrees
With the nearest neighbours (Å) after each atom.
Sites, in units of the cell vectors:
Cs  0.0000  0.0000  0.2208  4 Au 3.77, 4 Cd 4.10, 1 Cs 4.13
Cs  0.0000  0.0000  0.7792  4 Au 3.77, 4 Cd 4.10, 1 Cs 4.13
Cd  0.5000  0.5000  0.5000  8 Cs 4.10, 4 Cd 4.46
Au  0.5000  0.5000  0.0000  8 Cs 3.77

Output
SG	P4/mmm, No. 123
size of the total moment	0.0	μB per formula unit


<B>
Cs2CdAu | PBE | optimized geometry

Cell lengths 8.2707, 8.2707, 8.2707 Å; angles 103.99, 103.99, 121.09 degrees
With the nearest neighbours (Å) after each atom.
Sites, in units of the cell vectors:
Cs  0.0856  0.6250  0.9606  2 Au 3.48
Cs  0.3750  0.3356  0.4606  2 Au 3.48
Cs  0.6644  0.1250  0.0394  2 Au 3.48
Cs  0.8750  0.9144  0.5394  2 Au 3.48
Cd  0.2500  0.7500  0.5000  4 Cs 4.03, 2 Au 4.07
Cd  0.5000  0.5000  0.0000  4 Cs 4.03, 2 Au 4.07
Au  0.0000  0.0000  0.0000  4 Cs 3.48
Au  0.7500  0.2500  0.5000  4 Cs 3.48

Output
SG	I-42d, No. 122
size of the total moment	0.0	μB per formula unit


Result of the stability comparison: <B> is the least stable of them.


<A>
Cs2Cd3Au | PBE | optimized geometry

Cell lengths 8.6064, 8.6064, 8.6064 Å; angles 146.34, 135.75, 56.73 degrees
With the nearest neighbours (Å) after each atom.
Sites, in units of the cell vectors:
Cs  0.2067  0.2067  0.0000  6 Cd 3.65-4.00
Cs  0.7933  0.7933  0.0000  6 Cd 3.65-4.00
Cd  0.0000  0.5000  0.5000  2 Au 3.24
Cd  0.4041  0.9041  0.5000  2 Au 2.88, 1 Cd 2.91
Cd  0.5959  0.0959  0.5000  2 Au 2.88, 1 Cd 2.91
Au  0.5000  0.5000  0.0000  4 Cd 2.88

Output
SG	Immm, No. 71
size of the total moment	0.0	μB per formula unit


<B>
Cs2Cd3Au | PBE | optimized geometry

Cell lengths 7.3243, 7.3243, 8.6796 Å; angles 126.16, 126.16, 40.06 degrees
With the nearest neighbours (Å) after each atom.
Sites, in units of the cell vectors:
Cs  0.0000  0.0000  0.0000  5 Cd 3.83-3.99, 2 Au 3.84, 1 Cs 4.20
Cs  0.1567  0.1567  0.5995  6 Cd 3.79-4.22, 3 Au 3.85-3.98, 1 Cs 4.20
Cd  0.3455  0.3455  0.2125  1 Au 2.88, 2 Cd 3.02
Cd  0.7050  0.7050  0.9878  1 Au 2.85, 3 Cd 3.02-3.09
Cd  0.8271  0.8271  0.4313  2 Au 2.92, 3 Cd 3.09-3.25
Au  0.4555  0.4555  0.6253  4 Cd 2.85-2.92

Output
SG	Cm, No. 8
size of the total moment	0.0	μB per formula unit


Result of the stability comparison: <A> is the least stable of them.


<A>
Cs2CdHAu | PBE | optimized geometry

Cell lengths 7.0500, 5.3599, 10.6271 Å; angles 90.00, 108.69, 90.00 degrees
With the nearest neighbours (Å) after each atom.
Sites, in units of the cell vectors:
Cs  0.2152  0.2500  0.3757  2 Au 3.61-3.63, 2 H 3.69, 1 Cd 3.70
Cs  0.2579  0.7500  0.0207  3 H 3.04-3.30
Cs  0.7421  0.2500  0.9793  3 H 3.04-3.30
Cs  0.7848  0.7500  0.6243  2 Au 3.61-3.63, 2 H 3.69, 1 Cd 3.70
Cd  0.2399  0.2500  0.7292  1 H 2.01
Cd  0.7601  0.7500  0.2708  1 H 2.01
H  0.0640  0.2500  0.8450  1 Cd 2.01
H  0.9360  0.7500  0.1550  1 Cd 2.01
Au  0.3267  0.7500  0.7078  2 Cd 2.77
Au  0.6733  0.2500  0.2922  2 Cd 2.77

Output
SG	P2_1/m, No. 11
size of the total moment	0.0	μB per formula unit


<B>
Cs2CdHAu | PBE | optimized geometry

Cell lengths 6.0035, 6.0035, 4.8361 Å; angles 90.00, 90.00, 90.00 degrees
With the nearest neighbours (Å) after each atom.
Sites, in units of the cell vectors:
Cs  0.0000  0.5000  0.0000  2 H 3.00
Cs  0.5000  0.0000  0.0000  2 H 3.00
Cd  0.0000  0.0000  0.5000  2 H 2.42
H  0.0000  0.0000  0.0000  2 Cd 2.42
Au  0.5000  0.5000  0.5000  8 Cs 3.85, 4 Cd 4.25

Output
SG	P4/mmm, No. 123
size of the total moment	0.0	μB per formula unit


Result of the stability comparison: <B> is the least stable of them.